Here is crystalline ZnCuOs3 at its relaxed geometry from the Alexandria database. Energies are from PBE.

uncorrected energy = -5.686 eV/atom
Fermi-level density of states = 7.49 states/eV/f.u.
total magnetization = 0.352 μB per atom
space group = No. 221
ΔE to the lowest computed polymorph = 0 meV/atom
calculated formation energy = 2.126 eV per atom

abc: 4.4496 4.4496 4.4496
angles: 90.00 90.00 90.00
Closest atoms and distances in Å follow each position.
Atoms (fractional coordinates):
1 Zn 0.0000 0.0000 0.0000  12 Os 3.15
2 Cu 0.5000 0.5000 0.5000  6 Os 2.22
3 Os 0.0000 0.5000 0.5000  2 Cu 2.22
4 Os 0.5000 0.0000 0.5000  2 Cu 2.22
5 Os 0.5000 0.5000 0.0000  2 Cu 2.22